Record 1
Here is crystalline AgMo2P at its relaxed geometry from Alexandria. Energies are from PBE-GGA.

Energy relative to the elements (eV per atom): 0.4366
Crystal system: tetragonal

```
data_AgMo2P
_chemical_formula_sum 'Ag2 Mo4 P2'
_cell_length_a 3.913
_cell_length_b 3.913
_cell_length_c 7.980
_cell_angle_alpha 90.00
_cell_angle_beta 90.00
_cell_angle_gamma 90.00
_symmetry_space_group_name_H-M 'I -4 m 2'
_symmetry_Int_Tables_number 119
_symmetry_space_group_name_Hall 'I -4 -2'
loop_
_atom_site_label
_atom_site_fract_x
_atom_site_fract_y
_atom_site_fract_z
Ag1 0.000 0.000 0.000
Mo1 0.000 0.000 0.500
Mo2 0.000 0.500 0.750
P1 0.000 0.500 0.250
```

Record 2
Here is crystalline TiTlSb3 at its relaxed geometry from Alexandria. Energies are from PBE-GGA.

Formation energy from raw total energies (meV/atom): 38
Crystal system: cubic

```
data_TiTlSb3
_chemical_formula_sum 'Ti1 Tl1 Sb3'
_cell_length_a 5.334
_cell_length_b 5.334
_cell_length_c 5.334
_cell_angle_alpha 90.00
_cell_angle_beta 90.00
_cell_angle_gamma 90.00
_symmetry_space_group_name_H-M 'P m -3 m'
_symmetry_Int_Tables_number 221
_symmetry_space_group_name_Hall '-P 4 2 3'
loop_
_atom_site_label
_atom_site_fract_x
_atom_site_fract_y
_atom_site_fract_z
Ti1 0.000 0.000 0.000
Tl1 0.500 0.500 0.500
Sb1 0.000 0.000 0.500
```

Record 3
Here is crystalline LaIn3Ga at its relaxed geometry from Alexandria. Energies are from PBE-GGA.

Energy relative to the elements (eV per atom): 0.7239
Crystal system: cubic

```
data_LaIn3Ga
_chemical_formula_sum 'La1 In3 Ga1'
_cell_length_a 6.105
_cell_length_b 6.105
_cell_length_c 6.105
_cell_angle_alpha 90.00
_cell_angle_beta 90.00
_cell_angle_gamma 90.00
_symmetry_space_group_name_H-M 'P m -3 m'
_symmetry_Int_Tables_number 221
_symmetry_space_group_name_Hall '-P 4 2 3'
loop_
_atom_site_label
_atom_site_fract_x
_atom_site_fract_y
_atom_site_fract_z
La1 0.000 0.000 0.000
In1 0.000 0.000 0.500
Ga1 0.500 0.500 0.500
```